Here is an optimized crystal structure of Ho2IrN from the Alexandria database. Energies are from PBE.

The energy is -7.56 eV/atom. The value obtained for the spin magnetization is 0.000 μB/f.u. The value obtained for the formation energy without anion corrections is -0.975 eV per atom. As for the calculated volume: 70.8 Å³ per cell.

Lattice parameters (Å, degrees): 3.4091 3.4091 7.3019 76.50 76.50 60.00
Fractional positions:
Ir 0.0000 0.0000 0.0000
Ho 0.2333 0.2333 0.3002
Ho 0.7667 0.7667 0.6998
N 0.5000 0.5000 0.5000